First-principles (PBE) data for a geometry-optimized MgCuSiPt structure, as listed in OQMD.

a = 4.3170 Å, b = 4.3170 Å, c = 4.3170 Å
α = 60.00°, β = 60.00°, γ = 60.00°
With the nearest neighbours (Å) after each atom.
Fractional positions:
Cu 0.7500 0.7500 0.7500  4 Si 2.64, 4 Mg 2.64
Mg 0.5000 0.5000 0.5000  4 Pt 2.64, 4 Cu 2.64
Pt 0.2500 0.2500 0.2500  4 Mg 2.64, 4 Si 2.64
Si 0.0000 0.0000 0.0000  4 Cu 2.64, 4 Pt 2.64

Results
Mass density = 9.08 g cm⁻³
ΔE to the lowest computed polymorph = 0 meV per atom
Total magnetization = 0.00 μB/cell

First-principles (PBE) data for a geometry-optimized MgTaCuPt structure, as listed in OQMD.

a = 4.4348 Å, b = 4.4348 Å, c = 4.4348 Å
α = 60.00°, β = 60.00°, γ = 60.00°
With the nearest neighbours (Å) after each atom.
Fractional positions:
Cu 0.7500 0.7500 0.7500  4 Mg 2.72, 4 Pt 2.72
Mg 0.0000 0.0000 0.0000  4 Ta 2.72, 4 Cu 2.72
Pt 0.5000 0.5000 0.5000  4 Ta 2.72, 4 Cu 2.72
Ta 0.2500 0.2500 0.2500  4 Pt 2.72, 4 Mg 2.72

Results
Mass density = 12.49 g cm⁻³
ΔE to the lowest computed polymorph = 148 meV per atom
Total magnetization = 0.00 μB/cell

First-principles (PBE) data for a geometry-optimized MgTaCuPt structure, as listed in OQMD.

a = 4.4197 Å, b = 4.4197 Å, c = 4.4197 Å
α = 60.00°, β = 60.00°, γ = 60.00°
With the nearest neighbours (Å) after each atom.
Fractional positions:
Cu 0.7500 0.7500 0.7500  4 Pt 2.71, 4 Ta 2.71
Mg 0.2500 0.2500 0.2500  4 Ta 2.71, 4 Pt 2.71
Pt 0.5000 0.5000 0.5000  4 Cu 2.71, 4 Mg 2.71
Ta 0.0000 0.0000 0.0000  4 Mg 2.71, 4 Cu 2.71

Results
Mass density = 12.62 g cm⁻³
ΔE to the lowest computed polymorph = 354 meV per atom
Total magnetization = 0.00 μB/cell

First-principles (PBE) data for a geometry-optimized MgTaCuPt structure, as listed in OQMD.

a = 4.4638 Å, b = 4.4638 Å, c = 4.4638 Å
α = 60.00°, β = 60.00°, γ = 60.00°
With the nearest neighbours (Å) after each atom.
Fractional positions:
Cu 0.7500 0.7500 0.7500  4 Mg 2.73, 4 Ta 2.73
Mg 0.5000 0.5000 0.5000  4 Pt 2.73, 4 Cu 2.73
Pt 0.2500 0.2500 0.2500  4 Mg 2.73, 4 Ta 2.73
Ta 0.0000 0.0000 0.0000  4 Cu 2.73, 4 Pt 2.73

Results
Mass density = 12.25 g cm⁻³
ΔE to the lowest computed polymorph = 0 meV per atom
Total magnetization = 0.00 μB/cell

First-principles (PBE) data for a geometry-optimized Tb2TmMg3CuPt2 structure, as listed in OQMD.

a = 3.9727 Å, b = 7.4405 Å, c = 7.4405 Å
α = 119.66°, β = 90.00°, γ = 90.00°
With the nearest neighbours (Å) after each atom.
Fractional positions:
Cu 0.0000 0.9973 0.9973  6 Mg 2.69-2.72
Mg 0.5000 0.2457 0.2457  2 Cu 2.72, 2 Pt 2.85
Mg 0.5000 0.9990 0.7548  2 Cu 2.69, 2 Pt 2.86-2.90
Mg 0.5000 0.7548 0.9990  2 Cu 2.69, 2 Pt 2.86-2.90
Pt 0.5000 0.6658 0.3374  3 Mg 2.85-2.90, 2 Tm 2.97, 4 Tb 3.01-3.02
Pt 0.5000 0.3374 0.6658  3 Mg 2.85-2.90, 2 Tm 2.97, 4 Tb 3.01-3.02
Tb 0.0000 0.9995 0.4143  4 Pt 3.01-3.02, 1 Cu 3.09, 6 Mg 3.22-3.35
Tb 0.0000 0.4143 0.9995  4 Pt 3.01-3.02, 1 Cu 3.09, 6 Mg 3.22-3.35
Tm 0.0000 0.5862 0.5862  4 Pt 2.97, 1 Cu 3.07, 2 Mg 3.23

Results
Mass density = 8.81 g cm⁻³
Total magnetization = 0.00 μB/cell

First-principles (PBE) data for a geometry-optimized MgTlCuPt structure, as listed in OQMD.

a = 4.6108 Å, b = 4.6108 Å, c = 4.6108 Å
α = 60.00°, β = 60.00°, γ = 60.00°
With the nearest neighbours (Å) after each atom.
Fractional positions:
Cu 0.7500 0.7500 0.7500  4 Mg 2.82, 4 Tl 2.82
Mg 0.5000 0.5000 0.5000  4 Pt 2.82, 4 Cu 2.82
Pt 0.2500 0.2500 0.2500  4 Mg 2.82, 4 Tl 2.82
Tl 0.0000 0.0000 0.0000  4 Cu 2.82, 4 Pt 2.82

Results
Mass density = 11.67 g cm⁻³
ΔE to the lowest computed polymorph = 0 meV per atom
Total magnetization = 0.00 μB/cell

First-principles (PBE) data for a geometry-optimized MgZnCuPt structure, as listed in OQMD.

a = 4.3602 Å, b = 4.3602 Å, c = 4.3602 Å
α = 60.00°, β = 60.00°, γ = 60.00°
With the nearest neighbours (Å) after each atom.
Fractional positions:
Cu 0.7500 0.7500 0.7500  4 Mg 2.67, 4 Zn 2.67
Mg 0.5000 0.5000 0.5000  4 Cu 2.67, 4 Pt 2.67
Pt 0.2500 0.2500 0.2500  4 Zn 2.67, 4 Mg 2.67
Zn 0.0000 0.0000 0.0000  4 Pt 2.67, 4 Cu 2.67

Results
Mass density = 9.87 g cm⁻³
ΔE to the lowest computed polymorph = 0 meV per atom
Total magnetization = 0.00 μB/cell

First-principles (PBE) data for a geometry-optimized PuMgCu structure, as listed in OQMD.

a = 4.5762 Å, b = 4.5762 Å, c = 4.5762 Å
α = 60.00°, β = 60.00°, γ = 60.00°
With the nearest neighbours (Å) after each atom.
Fractional positions:
Cu 0.0000 0.0000 0.0000  4 Pu 2.80, 4 Mg 2.80
Mg 0.2500 0.2500 0.2500  4 Cu 2.80
Pu 0.7500 0.7500 0.7500  4 Cu 2.80

Results
Mass density = 8.13 g cm⁻³
Total magnetization = 6.00 μB/cell

First-principles (PBE) data for a geometry-optimized RbMgCu structure, as listed in OQMD.

a = 5.6878 Å, b = 5.6878 Å, c = 5.6878 Å
α = 60.00°, β = 60.00°, γ = 60.00°
With the nearest neighbours (Å) after each atom.
Fractional positions:
Cu 0.2500 0.2500 0.2500  4 Rb 3.48
Mg 0.7500 0.7500 0.7500  4 Rb 3.48
Rb 0.0000 0.0000 0.0000  4 Cu 3.48, 4 Mg 3.48

Results
Mass density = 2.21 g cm⁻³
ΔE to the lowest computed polymorph = 344 meV per atom

First-principles (PBE) data for a geometry-optimized RbMgCu structure, as listed in OQMD.

a = 5.2616 Å, b = 5.2616 Å, c = 5.2616 Å
α = 60.00°, β = 60.00°, γ = 60.00°
With the nearest neighbours (Å) after each atom.
Fractional positions:
Cu 0.0000 0.0000 0.0000  4 Mg 3.22, 4 Rb 3.22
Mg 0.2500 0.2500 0.2500  4 Cu 3.22
Rb 0.7500 0.7500 0.7500  4 Cu 3.22

Results
Mass density = 2.79 g cm⁻³
ΔE to the lowest computed polymorph = 0 meV per atom

First-principles (PBE) data for a geometry-optimized Mg5CuRe structure, as listed in OQMD.

a = 6.7834 Å, b = 6.7834 Å, c = 6.7834 Å
α = 111.92°, β = 84.60°, γ = 136.12°
With the nearest neighbours (Å) after each atom.
Fractional positions:
Cu 0.0782 0.0782 0.0000  2 Mg 2.53
Mg 0.5690 0.7519 0.1829  1 Re 2.61, 2 Mg 2.78-2.84, 1 Cu 2.85
Mg 0.2570 0.0077 0.2493  1 Cu 2.53, 1 Re 2.61
Mg 0.8670 0.3670 0.5000  2 Re 2.52-2.55
Mg 0.7584 0.0077 0.7507  1 Cu 2.53, 1 Re 2.61
Mg 0.5690 0.3861 0.8171  1 Re 2.61, 2 Mg 2.78-2.84, 1 Cu 2.85
Re 0.3707 0.8707 0.5000  6 Mg 2.52-2.61

Results
Mass density = 3.19 g cm⁻³
Total magnetization = 0.44 μB/cell

First-principles (PBE) data for a geometry-optimized Mg3Cu2Re2 structure, as listed in OQMD.

a = 7.7616 Å, b = 7.7616 Å, c = 7.7616 Å
α = 32.12°, β = 32.12°, γ = 32.12°
With the nearest neighbours (Å) after each atom.
Fractional positions:
Cu 0.0232 0.0232 0.0232  1 Re 2.53, 7 Mg 2.57-2.74
Cu 0.5111 0.5111 0.5111  6 Re 2.63-2.90, 5 Mg 2.73-2.84
Mg 0.3876 0.3876 0.3876  4 Cu 2.57-2.73, 3 Re 2.77
Mg 0.6398 0.6398 0.6398  4 Cu 2.71-2.84, 3 Mg 2.97, 1 Re 3.02
Mg 0.8990 0.8990 0.8990  1 Re 2.70, 4 Cu 2.74-2.76, 3 Mg 2.97
Re 0.1378 0.1378 0.1378  4 Cu 2.53-2.63, 3 Re 2.55
Re 0.7765 0.7765 0.7765  3 Re 2.55, 4 Mg 2.70-2.77

Results
Mass density = 8.09 g cm⁻³
Total magnetization = 0.01 μB/cell

| no. | VASP energy (eV per atom) |
| --- | --- |
| 1 | -4.585 |
| 2 | -6.004 |
| 3 | -5.797 |
| 4 | -6.152 |
| 5 | -4.523 |
| 6 | -3.601 |
| 7 | -3.593 |
| 8 | -6.224 |
| 9 | -1.237 |
| 10 | -1.581 |
| 11 | -2.572 |
| 12 | -5.113 |